Record 1
## Mg2NiMo (PBE)

Data for crystalline Mg2NiMo at its relaxed geometry.

a = 6.363 Å, b = 6.363 Å, c = 6.363 Å
α = 90.00°, β = 90.00°, γ = 90.00°
Space group Fm-3m (No. 225)
Symmetry-distinct sites (fractional):
1 Mg 0.250 0.250 0.250 x8
2 Ni 0.000 0.000 0.000 x4
3 Mo 0.000 0.000 0.500 x4

Computed properties:
total DFT energy (no corrections): -4.522 eV/atom
calculated volume: 16.104 A^3/atom
energy of formation from the pure elements: 0.429 eV per atom
N(E_F): 0.6114 states/eV per atom
energy relative to the lowest polymorph listed for this composition: 366 meV/atom
density: 5.2 g/cm3

Record 2
## SrLaAg3 (PBE)

Data for crystalline SrLaAg3 at its relaxed geometry.

a = 4.030 Å, b = 29.002 Å, c = 4.796 Å
α = 90.00°, β = 90.00°, γ = 90.00°
Space group Cmcm (No. 63)
Symmetry-distinct sites (fractional):
1 Sr 0.000 0.073 0.250 x4
2 La 0.000 0.206 0.750 x4
3 Ag 0.000 0.323 0.750 x4
4 Ag 0.000 0.380 0.250 x4
5 Ag 0.000 0.476 0.250 x4

Computed properties:
total DFT energy (no corrections): -3.296 eV/atom
calculated volume: 28.029 A^3/atom
energy of formation from the pure elements: -0.263 eV per atom
N(E_F): 0.7103 states/eV per atom
energy relative to the lowest polymorph listed for this composition: 0 meV/atom
density: 6.5 g/cm3

Record 3
## LiTb3Zn2 (PBE)

Data for crystalline LiTb3Zn2 at its relaxed geometry.

a = 5.1042 Å, b = 5.1042 Å, c = 12.4842 Å
α = 90.00°, β = 90.00°, γ = 120.00°
Space group P-3m1 (No. 164)
Symmetry-distinct sites (fractional):
1 Li 0.3333 0.6667 0.1705 x2
2 Tb 0.0000 0.0000 0.2551 x2
3 Tb 0.3333 0.6667 0.4215 x2
4 Tb 0.3333 0.6667 0.9175 x2
5 Zn 0.0000 0.0000 0.0000 x1
6 Zn 0.0000 0.0000 0.5000 x1
7 Zn 0.3333 0.6667 0.6729 x2

Computed properties:
total DFT energy (no corrections): -3.260 eV/atom
calculated volume: 23.473 A^3/atom
energy of formation from the pure elements: -0.202 eV per atom
N(E_F): 1.0309 states/eV per atom
density: 7.2 g/cm3

Record 4
## CuCl2 (PBE)

Data for crystalline CuCl2 at its relaxed geometry.

a = 4.523 Å, b = 4.523 Å, c = 4.470 Å
α = 90.00°, β = 90.00°, γ = 90.00°
Space group P4/mmm (No. 123)
Symmetry-distinct sites (fractional):
1 Cu 0.000 0.000 0.000 x1
2 Cl 0.000 0.500 0.000 x2

Computed properties:
total DFT energy (no corrections): -2.896 eV/atom
calculated volume: 30.472 A^3/atom
N(E_F): 1.0358 states/eV per atom
density: 2.4 g/cm3
E_form (uncorrected): -299 meV per atom

Record 5
## Hf6FePt3 (PBE)

Data for crystalline Hf6FePt3 at its relaxed geometry.

a = 6.110 Å, b = 7.155 Å, c = 11.112 Å
α = 90.00°, β = 123.27°, γ = 90.00°
Space group P2_1/c (No. 14)
Symmetry-distinct sites (fractional):
1 Hf 0.070 0.050 0.240 x4
2 Hf 0.205 0.691 0.065 x4
3 Hf 0.412 0.155 0.067 x4
4 Fe 0.000 0.000 0.000 x2
5 Pt 0.303 0.122 0.734 x4
6 Pt 0.500 0.000 0.500 x2

Computed properties:
total DFT energy (no corrections): -9.165 eV/atom
calculated volume: 20.309 A^3/atom
energy of formation from the pure elements: -0.534 eV per atom
N(E_F): 0.9044 states/eV per atom
density: 14.0 g/cm3

Record 6
## Ce3TmNi8 (PBE)

Data for crystalline Ce3TmNi8 at its relaxed geometry.

a = 5.0387 Å, b = 5.0387 Å, c = 8.4037 Å
α = 90.00°, β = 90.00°, γ = 120.00°
Space group P3m1 (No. 156)
Symmetry-distinct sites (fractional):
1 Ce 0.0000 0.0000 0.0000 x1
2 Ce 0.0000 0.0000 0.3846 x1
3 Ce 0.3333 0.6667 0.8903 x1
4 Tm 0.3333 0.6667 0.5139 x1
5 Ni 0.3404 0.1702 0.6964 x3
6 Ni 0.5020 0.0041 0.2032 x3
7 Ni 0.6667 0.3333 0.4498 x1
8 Ni 0.6667 0.3333 0.9548 x1

Computed properties:
total DFT energy (no corrections): -6.098 eV/atom
calculated volume: 15.398 A^3/atom
energy of formation from the pure elements: -0.387 eV per atom
N(E_F): 1.4365 states/eV per atom
energy relative to the lowest polymorph listed for this composition: 17 meV/atom
density: 9.5 g/cm3